(1)
# CsNaTe3

A geometry-optimized CsNaTe3 structure (PBE, Alexandria).

Cell and atoms, written as CIF:
```
data_CsNaTe3
_cell_length_a 5.774
_cell_length_b 5.774
_cell_length_c 5.774
_cell_angle_alpha 90.00
_cell_angle_beta 90.00
_cell_angle_gamma 90.00
_space_group_name_H-M_alt 'P 1'
_space_group_IT_number 1
_space_group_name_Hall 'P 1'
loop_
_atom_site_label
_atom_site_fract_x
_atom_site_fract_y
_atom_site_fract_z
Cs1 0.000 0.000 0.000
Na1 0.500 0.500 0.500
Te1 0.000 0.500 0.500
Te2 0.500 0.000 0.500
Te3 0.500 0.500 0.000
```

Output
**E_tot**: -2.459 eV per atom
**Formation energy from raw total energies**: -0.1395 eV per atom
**Distance to the lowest polymorph of the same formula**: 0 meV per atom

=====

(2)
# Tb2TmCdAu4

A geometry-optimized Tb2TmCdAu4 structure (PBE, Alexandria).

Cell and atoms, written as CIF:
```
data_Tb2TmCdAu4
_cell_length_a 8.759
_cell_length_b 8.759
_cell_length_c 8.759
_cell_angle_alpha 33.18
_cell_angle_beta 33.18
_cell_angle_gamma 33.18
_space_group_name_H-M_alt 'P 1'
_space_group_IT_number 1
_space_group_name_Hall 'P 1'
loop_
_atom_site_label
_atom_site_fract_x
_atom_site_fract_y
_atom_site_fract_z
Tb1 0.243 0.243 0.243
Tb2 0.757 0.757 0.757
Tm1 0.000 0.000 0.000
Cd1 0.500 0.500 0.500
Au1 0.120 0.120 0.120
Au2 0.366 0.366 0.366
Au3 0.634 0.634 0.634
Au4 0.880 0.880 0.880
```

Output
**E_tot**: -4.262 eV per atom
**Energy relative to the elements**: -0.79 eV per atom

=====

(3)
# SmHoCd

A geometry-optimized SmHoCd structure (PBE, Alexandria).

Cell and atoms, written as CIF:
```
data_SmHoCd
_cell_length_a 7.013
_cell_length_b 7.013
_cell_length_c 7.013
_cell_angle_alpha 149.93
_cell_angle_beta 149.93
_cell_angle_gamma 43.05
_space_group_name_H-M_alt 'P 1'
_space_group_IT_number 1
_space_group_name_Hall 'P 1'
loop_
_atom_site_label
_atom_site_fract_x
_atom_site_fract_y
_atom_site_fract_z
Sm1 0.000 0.000 0.000
Ho1 0.687 0.687 0.000
Cd1 0.337 0.337 0.000
```

Output
**E_tot**: -3.597 eV per atom
**Energy relative to the elements**: -0.19 eV per atom
**Distance to the lowest polymorph of the same formula**: 0 meV per atom

=====

(4)
# PmDySc

A geometry-optimized PmDySc structure (PBE, Alexandria).

Cell and atoms, written as CIF:
```
data_PmDySc
_cell_length_a 5.483
_cell_length_b 5.483
_cell_length_c 3.422
_cell_angle_alpha 90.00
_cell_angle_beta 90.00
_cell_angle_gamma 120.00
_space_group_name_H-M_alt 'P 1'
_space_group_IT_number 1
_space_group_name_Hall 'P 1'
loop_
_atom_site_label
_atom_site_fract_x
_atom_site_fract_y
_atom_site_fract_z
Pm1 0.000 0.000 0.000
Dy1 0.667 0.333 0.500
Sc1 0.333 0.667 0.000
```

Output
**E_tot**: -5.149 eV per atom
**Energy relative to the elements**: 0.08 eV per atom
**Distance to the lowest polymorph of the same formula**: 29 meV per atom

=====

(5)
# YCu3Bi4O12

A geometry-optimized YCu3Bi4O12 structure (PBE, Alexandria).

Cell and atoms, written as CIF:
```
data_YCu3Bi4O12
_cell_length_a 7.111
_cell_length_b 7.111
_cell_length_c 7.111
_cell_angle_alpha 109.47
_cell_angle_beta 109.47
_cell_angle_gamma 109.47
_space_group_name_H-M_alt 'P 1'
_space_group_IT_number 1
_space_group_name_Hall 'P 1'
loop_
_atom_site_label
_atom_site_fract_x
_atom_site_fract_y
_atom_site_fract_z
Y1 0.000 0.000 0.000
Cu1 0.000 0.500 0.500
Cu2 0.500 0.000 0.500
Cu3 0.500 0.500 0.000
Bi1 0.000 0.000 0.500
Bi2 0.000 0.500 0.000
Bi3 0.500 0.000 0.000
Bi4 0.500 0.500 0.500
O1 0.151 0.311 0.462
O2 0.151 0.689 0.841
O3 0.159 0.849 0.311
O4 0.311 0.159 0.849
O5 0.311 0.462 0.151
O6 0.462 0.151 0.311
O7 0.538 0.849 0.689
O8 0.689 0.538 0.849
O9 0.689 0.841 0.151
O10 0.841 0.151 0.689
O11 0.849 0.311 0.159
O12 0.849 0.689 0.538
```

Output
**E_tot**: -5.777 eV per atom
**Formation energy from raw total energies**: -1.0886 eV per atom

=====

(6)
# Nd6GaRh2

A geometry-optimized Nd6GaRh2 structure (PBE, Alexandria).

Cell and atoms, written as CIF:
```
data_Nd6GaRh2
_cell_length_a 8.698
_cell_length_b 8.698
_cell_length_c 8.698
_cell_angle_alpha 113.28
_cell_angle_beta 110.41
_cell_angle_gamma 104.83
_space_group_name_H-M_alt 'P 1'
_space_group_IT_number 1
_space_group_name_Hall 'P 1'
loop_
_atom_site_label
_atom_site_fract_x
_atom_site_fract_y
_atom_site_fract_z
Nd1 0.044 0.237 0.806
Nd2 0.177 0.286 0.463
Nd3 0.177 0.714 0.891
Nd4 0.332 0.025 0.693
Nd5 0.332 0.639 0.307
Nd6 0.431 0.237 0.194
Nd7 0.569 0.763 0.806
Nd8 0.668 0.361 0.693
Nd9 0.668 0.975 0.307
Nd10 0.823 0.286 0.109
Nd11 0.823 0.714 0.537
Nd12 0.956 0.763 0.194
Ga1 0.000 0.000 0.000
Ga2 0.500 0.500 0.000
Rh1 0.133 0.633 0.500
Rh2 0.330 0.000 0.330
Rh3 0.670 0.000 0.670
Rh4 0.867 0.367 0.500
```

Output
**E_tot**: -5.629 eV per atom
**Energy relative to the elements**: -0.48 eV per atom

=====

(7)
# TaGa2BiO

A geometry-optimized TaGa2BiO structure (PBE, Alexandria).

Cell and atoms, written as CIF:
```
data_TaGa2BiO
_cell_length_a 5.392
_cell_length_b 5.392
_cell_length_c 3.857
_cell_angle_alpha 90.00
_cell_angle_beta 90.00
_cell_angle_gamma 90.00
_space_group_name_H-M_alt 'P 1'
_space_group_IT_number 1
_space_group_name_Hall 'P 1'
loop_
_atom_site_label
_atom_site_fract_x
_atom_site_fract_y
_atom_site_fract_z
Ta1 0.000 0.000 0.000
Ga1 0.000 0.500 0.000
Ga2 0.500 0.000 0.000
Bi1 0.500 0.500 0.500
O1 0.000 0.000 0.500
```

Output
**E_tot**: -5.691 eV per atom
**Formation energy from raw total energies**: -0.3420 eV per atom
**Distance to the lowest polymorph of the same formula**: 0 meV per atom

=====

(8)
# ZrGa3Ni3

A geometry-optimized ZrGa3Ni3 structure (PBE, Alexandria).

Cell and atoms, written as CIF:
```
data_ZrGa3Ni3
_cell_length_a 6.326
_cell_length_b 6.326
_cell_length_c 6.326
_cell_angle_alpha 90.00
_cell_angle_beta 90.00
_cell_angle_gamma 90.00
_space_group_name_H-M_alt 'P 1'
_space_group_IT_number 1
_space_group_name_Hall 'P 1'
loop_
_atom_site_label
_atom_site_fract_x
_atom_site_fract_y
_atom_site_fract_z
Zr1 0.000 0.000 0.000
Zr2 0.500 0.500 0.500
Ga1 0.000 0.250 0.500
Ga2 0.000 0.750 0.500
Ga3 0.250 0.500 0.000
Ga4 0.500 0.000 0.250
Ga5 0.500 0.000 0.750
Ga6 0.750 0.500 0.000
Ni1 0.000 0.500 0.250
Ni2 0.000 0.500 0.750
Ni3 0.250 0.000 0.500
Ni4 0.500 0.250 0.000
Ni5 0.500 0.750 0.000
Ni6 0.750 0.000 0.500
```

Output
**E_tot**: -4.738 eV per atom
**Energy relative to the elements**: 0.26 eV per atom

=====

(9)
# Li2Ce5Au12

A geometry-optimized Li2Ce5Au12 structure (PBE, Alexandria).

Cell and atoms, written as CIF:
```
data_Li2Ce5Au12
_cell_length_a 8.582
_cell_length_b 8.582
_cell_length_c 7.116
_cell_angle_alpha 91.59
_cell_angle_beta 91.59
_cell_angle_gamma 52.94
_space_group_name_H-M_alt 'P 1'
_space_group_IT_number 1
_space_group_name_Hall 'P 1'
loop_
_atom_site_label
_atom_site_fract_x
_atom_site_fract_y
_atom_site_fract_z
Li1 0.226 0.774 0.000
Li2 0.774 0.226 0.000
Ce1 0.198 0.198 0.035
Ce2 0.253 0.253 0.576
Ce3 0.500 0.500 0.500
Ce4 0.747 0.747 0.424
Ce5 0.802 0.802 0.965
Au1 0.050 0.050 0.715
Au2 0.088 0.696 0.655
Au3 0.159 0.537 0.250
Au4 0.304 0.912 0.345
Au5 0.395 0.395 0.905
Au6 0.463 0.841 0.750
Au7 0.537 0.159 0.250
Au8 0.605 0.605 0.095
Au9 0.696 0.088 0.655
Au10 0.841 0.463 0.750
Au11 0.912 0.304 0.345
Au12 0.950 0.950 0.285
```

Output
**E_tot**: -4.386 eV per atom
**Energy relative to the elements**: -0.55 eV per atom

=====

(10)
# Pr2ErTm

A geometry-optimized Pr2ErTm structure (PBE, Alexandria).

Cell and atoms, written as CIF:
```
data_Pr2ErTm
_cell_length_a 11.822
_cell_length_b 11.822
_cell_length_c 11.822
_cell_angle_alpha 17.59
_cell_angle_beta 17.59
_cell_angle_gamma 17.59
_space_group_name_H-M_alt 'P 1'
_space_group_IT_number 1
_space_group_name_Hall 'P 1'
loop_
_atom_site_label
_atom_site_fract_x
_atom_site_fract_y
_atom_site_fract_z
Pr1 0.250 0.250 0.250
Pr2 0.750 0.750 0.750
Er1 0.500 0.500 0.500
Tm1 0.000 0.000 0.000
```

Output
**E_tot**: -4.632 eV per atom
**Energy relative to the elements**: 0.02 eV per atom
**Distance to the lowest polymorph of the same formula**: 0 meV per atom

=====

(11)
# Tb5Sm4Cd

A geometry-optimized Tb5Sm4Cd structure (PBE, Alexandria).

Cell and atoms, written as CIF:
```
data_Tb5Sm4Cd
_cell_length_a 8.092
_cell_length_b 8.092
_cell_length_c 8.092
_cell_angle_alpha 97.36
_cell_angle_beta 97.36
_cell_angle_gamma 138.05
_space_group_name_H-M_alt 'P 1'
_space_group_IT_number 1
_space_group_name_Hall 'P 1'
loop_
_atom_site_label
_atom_site_fract_x
_atom_site_fract_y
_atom_site_fract_z
Tb1 0.000 0.000 0.000
Tb2 0.112 0.112 0.631
Tb3 0.112 0.480 0.000
Tb4 0.480 0.112 0.000
Tb5 0.480 0.480 0.369
Sm1 0.125 0.808 0.318
Sm2 0.490 0.808 0.682
Sm3 0.808 0.125 0.318
Sm4 0.808 0.490 0.682
Cd1 0.520 0.520 0.000
```

Output
**E_tot**: -4.175 eV per atom
**Energy relative to the elements**: 0.12 eV per atom
**Distance to the lowest polymorph of the same formula**: 67 meV per atom

=====

(12)
# Ac2GeO

A geometry-optimized Ac2GeO structure (PBE, Alexandria).

Cell and atoms, written as CIF:
```
data_Ac2GeO
_cell_length_a 3.486
_cell_length_b 3.486
_cell_length_c 7.660
_cell_angle_alpha 90.00
_cell_angle_beta 90.00
_cell_angle_gamma 90.00
_space_group_name_H-M_alt 'P 1'
_space_group_IT_number 1
_space_group_name_Hall 'P 1'
loop_
_atom_site_label
_atom_site_fract_x
_atom_site_fract_y
_atom_site_fract_z
Ac1 0.000 0.000 0.223
Ac2 0.000 0.000 0.777
Ge1 0.500 0.500 0.500
O1 0.500 0.500 0.000
```

Output
**E_tot**: -5.638 eV per atom
**Formation energy from raw total energies**: -1.1903 eV per atom
**Distance to the lowest polymorph of the same formula**: 566 meV per atom

=====

Number 1: N(E_F) 6.5 states/eV per cell. Number 2: N(E_F) 5.3 states/eV per cell. Number 3: N(E_F) 3.9 states/eV per cell. Number 4: N(E_F) 5.0 states/eV per cell. Number 5: N(E_F) 3.0 states/eV per cell. Number 6: N(E_F) 15.5 states/eV per cell. Number 7: N(E_F) 5.0 states/eV per cell. Number 8: N(E_F) 13.9 states/eV per cell. Number 9: N(E_F) 36.8 states/eV per cell. Number 10: N(E_F) 4.3 states/eV per cell. Number 11: N(E_F) 12.7 states/eV per cell. Number 12: N(E_F) 2.3 states/eV per cell.